(1)
First-principles (meta-GGA SCAN) data for a crystal of LiTaCl relaxed with PBEsol, as listed in Alexandria.

Summary:
The calculation puts the calculated total energy at -153.8 eV per cell.

Cell: 2.914 2.914 12.306 Å, 90.00 90.00 90.00°
Space group I4mm (No. 107)
Asymmetric unit:
Li: 0.000 0.000 0.000 (multiplicity 2)
Ta: 0.000 0.000 0.678 (multiplicity 2)
Cl: 0.000 0.000 0.310 (multiplicity 2)

(2)
First-principles (meta-GGA SCAN) data for a crystal of LiTcCl relaxed with PBEsol, as listed in Alexandria.

Summary:
The calculation puts the calculated total energy at -170.4 eV per cell.

Cell: 5.865 5.865 5.865 Å, 90.00 90.00 90.00°
Space group F-43m (No. 216)
Asymmetric unit:
Li: 0.000 0.000 0.000 (multiplicity 4)
Tc: 0.250 0.250 0.250 (multiplicity 4)
Cl: 0.250 0.250 0.750 (multiplicity 4)

(3)
First-principles (meta-GGA SCAN) data for a crystal of LiTc4Cl relaxed with PBEsol, as listed in Alexandria.

Summary:
The calculation puts the calculated total energy at -581.5 eV per cell.

Cell: 7.212 7.212 7.212 Å, 90.00 90.00 90.00°
Space group F-43m (No. 216)
Asymmetric unit:
Li: 0.000 0.000 0.000 (multiplicity 4)
Tc: 0.124 0.124 0.376 (multiplicity 16)
Cl: 0.250 0.250 0.750 (multiplicity 4)

(4)
First-principles (meta-GGA SCAN) data for a crystal of LiTcCl2 relaxed with PBEsol, as listed in Alexandria.

Summary:
Its polymorph energy (0 for the lowest one) is 20 meV/atom.

Cell: 3.088 3.723 5.139 Å, 90.00 90.00 90.00°
Space group Pmm2 (No. 25)
Asymmetric unit:
Li: 0.000 0.000 0.000 (multiplicity 1)
Tc: 0.500 0.500 0.394 (multiplicity 1)
Cl: 0.000 0.000 0.478 (multiplicity 1)
Cl: 0.500 0.500 0.898 (multiplicity 1)

(5)
First-principles (meta-GGA SCAN) data for a crystal of LiTcCl3 relaxed with PBEsol, as listed in Alexandria.

Summary:
The calculation puts the calculated total energy at -64.0 eV per cell.

Cell: 4.566 4.566 4.566 Å, 90.00 90.00 90.00°
Space group Pm-3m (No. 221)
Asymmetric unit:
Li: 0.000 0.000 0.000 (multiplicity 1)
Tc: 0.500 0.500 0.500 (multiplicity 1)
Cl: 0.000 0.000 0.500 (multiplicity 3)

(6)
First-principles (meta-GGA SCAN) data for a crystal of LiTcCl2 relaxed with PBEsol, as listed in Alexandria.

Summary:
Its polymorph energy (0 for the lowest one) is 699 meV/atom.

Cell: 6.619 6.619 6.619 Å, 90.00 90.00 90.00°
Space group F-43m (No. 216)
Asymmetric unit:
Li: 0.000 0.000 0.000 (multiplicity 4)
Tc: 0.250 0.250 0.750 (multiplicity 4)
Cl: 0.000 0.000 0.500 (multiplicity 4)
Cl: 0.250 0.250 0.250 (multiplicity 4)

(7)
First-principles (meta-GGA SCAN) data for a crystal of LiTcCl2 relaxed with PBEsol, as listed in Alexandria.

Summary:
Its polymorph energy (0 for the lowest one) is 66 meV/atom.

Cell: 3.436 3.436 12.619 Å, 90.00 90.00 90.00°
Space group I-4m2 (No. 119)
Asymmetric unit:
Li: 0.000 0.000 0.000 (multiplicity 2)
Tc: 0.000 0.500 0.250 (multiplicity 2)
Cl: 0.000 0.000 0.500 (multiplicity 2)
Cl: 0.000 0.500 0.750 (multiplicity 2)

(8)
First-principles (meta-GGA SCAN) data for a crystal of LiTcCl2 relaxed with PBEsol, as listed in Alexandria.

Summary:
Its polymorph energy (0 for the lowest one) is 0 meV/atom.

Cell: 14.134 3.069 3.071 Å, 90.00 90.80 90.00°
Space group Cm (No. 8)
Asymmetric unit:
Li: 0.000 0.000 0.000 (multiplicity 2)
Tc: 0.363 0.000 0.491 (multiplicity 2)
Cl: 0.044 0.500 0.503 (multiplicity 2)
Cl: 0.283 0.500 0.986 (multiplicity 2)

(9)
First-principles (meta-GGA SCAN) data for a crystal of LiTcCl2 relaxed with PBEsol, as listed in Alexandria.

Summary:
Its polymorph energy (0 for the lowest one) is 8 meV/atom.

Cell: 2.956 3.727 6.000 Å, 90.00 100.70 90.00°
Space group P2/m (No. 10)
Asymmetric unit:
Li: 0.000 0.000 0.000 (multiplicity 1)
Tc: 0.500 0.000 0.500 (multiplicity 1)
Cl: 0.406 0.500 0.251 (multiplicity 2)

(10)
First-principles (meta-GGA SCAN) data for a crystal of LiTeCl relaxed with PBEsol, as listed in Alexandria.

Summary:
Its polymorph energy (0 for the lowest one) is 0 meV/atom.

Cell: 6.567 6.567 6.567 Å, 90.00 90.00 90.00°
Space group F-43m (No. 216)
Asymmetric unit:
Li: 0.000 0.000 0.000 (multiplicity 4)
Te: 0.250 0.250 0.250 (multiplicity 4)
Cl: 0.250 0.250 0.750 (multiplicity 4)

(11)
First-principles (meta-GGA SCAN) data for a crystal of LiTeCl relaxed with PBEsol, as listed in Alexandria.

Summary:
Its polymorph energy (0 for the lowest one) is 179 meV/atom.

Cell: 7.073 7.073 7.073 Å, 90.00 90.00 90.00°
Space group F-43m (No. 216)
Asymmetric unit:
Li: 0.000 0.000 0.000 (multiplicity 4)
Te: 0.250 0.250 0.250 (multiplicity 4)
Cl: 0.000 0.000 0.500 (multiplicity 4)

(12)
First-principles (meta-GGA SCAN) data for a crystal of LiTlCl2 relaxed with PBEsol, as listed in Alexandria.

Summary:
Its polymorph energy (0 for the lowest one) is 17 meV/atom.

Cell: 3.911 4.194 6.594 Å, 90.00 107.20 90.00°
Space group Pm (No. 6)
Asymmetric unit:
Li: 0.000 0.000 0.000 (multiplicity 1)
Tl: 0.229 0.500 0.455 (multiplicity 1)
Cl: 0.615 0.000 0.231 (multiplicity 1)
Cl: 0.915 0.500 0.829 (multiplicity 1)